(1)
DFT (PBE-GGA) results for Ti2AgBi2O7 after structural relaxation.

a = 10.1828 Å, b = 10.1828 Å, c = 10.1828 Å
α = 161.26°, β = 37.55°, γ = 147.76°
Element x y z (fractional)
Ti 0.0919 0.0000 0.0919
Ti 0.9081 0.0000 0.9081
Ag 0.5127 0.0127 0.5000
Bi 0.3199 0.5144 0.8055
Bi 0.7090 0.5144 0.1945
O 0.0096 0.6285 0.3811
O 0.0996 0.0996 0.0000
O 0.1077 0.8895 0.2182
O 0.2474 0.6285 0.6189
O 0.5994 0.6822 0.9172
O 0.6713 0.8895 0.7818
O 0.7650 0.6822 0.0828

Output
* raw total energy: -6.8780 eV/atom
* volume: 181 Å³/f.u.
* size of the total moment: 0.000 μB/f.u.
* uncorrected formation energy: -1785 meV/atom
* space-group type: No. 44

(2)
DFT (PBE-GGA) results for TiAg2BiO4 after structural relaxation.

a = 3.9905 Å, b = 7.7265 Å, c = 8.6878 Å
α = 90.00°, β = 90.00°, γ = 90.00°
Element x y z (fractional)
Ti 0.2500 0.2500 0.1144
Ti 0.7500 0.7500 0.8856
Ag 0.2500 0.5595 0.6021
Ag 0.2500 0.9405 0.6021
Ag 0.7500 0.0595 0.3979
Ag 0.7500 0.4405 0.3979
Bi 0.2500 0.7500 0.2041
Bi 0.7500 0.2500 0.7959
O 0.2500 0.0569 0.2381
O 0.2500 0.2500 0.8911
O 0.2500 0.4431 0.2381
O 0.2500 0.7500 0.9378
O 0.7500 0.2500 0.0622
O 0.7500 0.5569 0.7619
O 0.7500 0.7500 0.1089
O 0.7500 0.9431 0.7619

Output
* raw total energy: -6.0254 eV/atom
* volume: 134 Å³/f.u.
* size of the total moment: 0.000 μB/f.u.
* uncorrected formation energy: -1361 meV/atom
* space-group type: No. 59

(3)
DFT (PBE-GGA) results for UAgBi2O8 after structural relaxation.

a = 5.1322 Å, b = 5.1322 Å, c = 7.1357 Å
α = 94.63°, β = 94.63°, γ = 87.45°
Element x y z (fractional)
U 0.0000 0.0000 0.0000
Ag 0.0000 0.0000 0.5000
Bi 0.4722 0.4722 0.7428
Bi 0.5278 0.5278 0.2572
O 0.1620 0.1620 0.7561
O 0.2106 0.2106 0.1870
O 0.2941 0.7059 0.5000
O 0.3030 0.6970 0.0000
O 0.6970 0.3030 0.0000
O 0.7059 0.2941 0.5000
O 0.7894 0.7894 0.8130
O 0.8380 0.8380 0.2439

Output
* raw total energy: -6.6502 eV/atom
* volume: 187 Å³/f.u.
* size of the total moment: 0.000 μB/f.u.
* uncorrected formation energy: -1520 meV/atom
* space-group type: No. 12

(4)
DFT (PBE-GGA) results for UAg2BiO6 after structural relaxation.

a = 5.8704 Å, b = 5.9594 Å, c = 10.2520 Å
α = 90.00°, β = 124.68°, γ = 90.00°
Element x y z (fractional)
U 0.0000 0.0000 0.0000
U 0.0000 0.5000 0.5000
Ag 0.2469 0.0162 0.7490
Ag 0.2469 0.4838 0.2490
Ag 0.7531 0.5162 0.7510
Ag 0.7531 0.9838 0.2510
Bi 0.5000 0.0000 0.5000
Bi 0.5000 0.5000 0.0000
O 0.1364 0.0364 0.2394
O 0.1364 0.4636 0.7394
O 0.2395 0.7099 0.0569
O 0.2395 0.7901 0.5569
O 0.3447 0.1859 0.0537
O 0.3447 0.3141 0.5537
O 0.6553 0.6859 0.4463
O 0.6553 0.8141 0.9463
O 0.7605 0.2099 0.4431
O 0.7605 0.2901 0.9431
O 0.8636 0.5364 0.2606
O 0.8636 0.9636 0.7606

Output
* raw total energy: -6.5759 eV/atom
* volume: 147 Å³/f.u.
* size of the total moment: 0.000 μB/f.u.
* uncorrected formation energy: -1514 meV/atom
* space-group type: No. 14

Q: Look up the raw total energy of the first one.
A: -6.8780 eV/atom